1.
15
Lattice="-2.171 -5.705 6.229 7.843 -0.456 -3.790 -1.665 6.923 5.761" Properties=species:S:1:pos:R:3 comment="Er3CdIn3Te8 PBE-GGA relaxed" raw_formation_energy_mev_per_atom=-749 total_magnetization_mub_per_cell=0.00 total_energy_ev_per_atom=-3.9458 pbc="T T T"
Te 3.016 0.165 1.203
Er 3.089 3.234 0.986
Cd -0.832 3.462 2.881
Te 5.979 3.205 1.987
Te 2.078 3.428 3.864
Er 2.004 0.381 4.100
Er -1.918 0.609 5.995
Te 0.991 0.597 6.998
In 0.000 0.000 0.000
Te -1.971 -2.443 6.214
Te 1.930 -2.665 4.337
In 2.836 -3.080 1.219
Te -0.893 0.391 3.120
Te 4.900 0.372 5.081
In 3.921 -0.228 -1.895



2.
16
Lattice="-0.097 5.246 -0.460 -2.611 -2.164 6.022 15.740 0.917 7.154" Properties=species:S:1:pos:R:3 comment="Rb3Sb3Au2 PBE-GGA relaxed" raw_formation_energy_mev_per_atom=-361 total_magnetization_mub_per_cell=0.00 total_energy_ev_per_atom=-3.0895 pbc="T T T"
Rb 2.777 3.044 3.975
Rb 10.256 0.955 8.740
Sb 5.880 3.252 5.703
Sb 1.765 0.604 6.516
Au 4.460 0.640 6.358
Rb 11.341 3.881 11.726
Sb 13.600 1.122 9.942
Au 0.120 0.387 4.386
Au 12.913 3.612 8.330
Sb 11.269 3.395 6.199
Rb 7.022 3.629 9.763
Sb -0.567 2.877 2.773
Sb 7.153 0.746 7.012
Rb 6.011 0.370 2.952
Au 8.573 3.359 6.357
Rb 1.692 0.118 0.989



3.
12
Lattice="-2.997 4.273 2.045 -8.474 -1.338 -1.940 -3.553 -1.878 6.400" Properties=species:S:1:pos:R:3 comment="Tb7PrZn4 PBE-GGA relaxed" formation_enthalpy_0k_mev_per_atom=-2 total_magnetization_mub_per_cell=0.20 total_energy_ev_per_atom=-3.5257 pbc="T T T"
Tb -6.180 -0.989 0.692
Pr 0.000 0.000 0.000
Zn -11.121 0.182 6.369
Tb -9.266 -1.156 4.200
Tb -1.499 2.136 1.023
Tb -5.758 2.212 2.305
Zn -3.903 0.874 0.137
Zn -6.231 0.715 4.739
Tb -8.844 2.045 5.813
Tb -3.292 -0.147 3.166
Tb -11.733 1.203 3.340
Zn -8.793 0.342 1.766



4.
5
Lattice="-4.146 -0.189 -1.804 -0.158 -4.446 0.828 -1.855 0.844 4.176" Properties=species:S:1:pos:R:3 comment="PdSeBr2N PBE-GGA relaxed" raw_formation_energy_mev_per_atom=1150 total_magnetization_mub_per_cell=0.15 total_energy_ev_per_atom=-2.9197 pbc="T T T"
Br -0.079 -2.223 0.414
Se -0.928 0.422 2.088
N 0.000 0.000 0.000
Br -2.073 -0.094 -0.902
Pd -3.080 -1.895 1.600



5.
4
Lattice="-3.734 2.162 -2.023 -4.361 -1.867 0.443 -3.256 2.171 2.718" Properties=species:S:1:pos:R:3 comment="LiDyCdIr PBE-GGA relaxed" formation_enthalpy_0k_mev_per_atom=-403 total_magnetization_mub_per_cell=0.00 total_energy_ev_per_atom=-4.4758 pbc="T T T"
Cd -8.514 1.849 0.853
Li 0.000 0.000 0.000
Ir -5.676 1.233 0.569
Dy -2.838 0.616 0.284



6.
4
Lattice="2.539 0.159 4.016 3.165 3.483 0.676 -0.851 3.394 3.218" Properties=species:S:1:pos:R:3 comment="Sc2MoCl PBE-GGA relaxed" raw_formation_energy_mev_per_atom=181 total_magnetization_mub_per_cell=0.00 total_energy_ev_per_atom=-6.1542 pbc="T T T"
Cl 0.000 0.000 0.000
Mo 2.427 3.518 3.955
Sc 1.213 1.759 1.978
Sc 3.640 5.277 5.933